Entry A
Entry from Alexandria via LeMat-Bulk: an optimized crystal structure of LaHg3Os (GGA-PBEsol).

Values from the calculation:
Volume (Å³/atom): 37.49
N(E_F) (states/eV/atom): 1.51
Symmetry: Pm-3m (221)

Lattice parameters (Å, degrees): 5.7232 5.7232 5.7232 90.00 90.00 90.00
Atoms (fractional coordinates):
Os 0.5000 0.5000 0.5000
Hg 0.0000 0.5000 0.0000
Hg 0.0000 0.0000 0.5000
Hg 0.5000 0.0000 0.0000
La 0.0000 0.0000 0.0000

=====

Entry B
Entry from Alexandria via LeMat-Bulk: an optimized crystal structure of LaHg3Os (GGA-PBEsol).

Values from the calculation:
Volume (Å³/atom): 26.57
N(E_F) (states/eV/atom): 1.04
Symmetry: Pm-3m (221)

Lattice parameters (Å, degrees): 5.1028 5.1028 5.1028 90.00 90.00 90.00
Atoms (fractional coordinates):
Os 0.0000 0.0000 0.0000
Hg 0.0000 0.5000 0.0000
Hg 0.0000 0.0000 0.5000
Hg 0.5000 0.0000 0.0000
La 0.5000 0.5000 0.5000

=====

Result of the stability comparison: entry B is the most stable of them.

=====

Entry A
Entry from Alexandria via LeMat-Bulk: an optimized crystal structure of La2ReHg (GGA-PBEsol).

Values from the calculation:
Volume (Å³/atom): 22.78
N(E_F) (states/eV/atom): 1.03
Symmetry: P4mm (99)

Lattice parameters (Å, degrees): 3.6505 3.6505 6.8366 90.00 90.00 90.00
Atoms (fractional coordinates):
Hg 0.5000 0.5000 0.7209
La 0.0000 0.0000 0.9828
La 0.5000 0.5000 0.2780
Re 0.0000 0.0000 0.5182

=====

Entry B
Entry from Alexandria via LeMat-Bulk: an optimized crystal structure of La2ReHg (GGA-PBEsol).

Values from the calculation:
Volume (Å³/atom): 22.21
N(E_F) (states/eV/atom): 1.28
Symmetry: F-43m (216)

Lattice parameters (Å, degrees): 5.0084 5.0084 5.0084 60.00 60.00 60.00
Atoms (fractional coordinates):
Hg 0.5000 0.5000 0.5000
La 0.0000 0.0000 0.0000
La 0.7500 0.7500 0.7500
Re 0.2500 0.2500 0.2500

=====

Result of the stability comparison: entry B is the most stable of them.

=====

Entry A
Entry from Alexandria via LeMat-Bulk: an optimized crystal structure of La2HgSe (GGA-PBEsol).

Values from the calculation:
Volume (Å³/atom): 26.59
N(E_F) (states/eV/atom): 1.04
Symmetry: Immm (71)

Lattice parameters (Å, degrees): 4.7650 5.4645 5.4645 59.86 64.15 64.15
Atoms (fractional coordinates):
Hg 0.0000 0.5000 0.5000
La 0.2411 0.7589 0.7589
La 0.7589 0.2411 0.2411
Se 0.5000 0.0000 0.0000

=====

Entry B
Entry from Alexandria via LeMat-Bulk: an optimized crystal structure of La2HgSe (GGA-PBEsol).

Values from the calculation:
Volume (Å³/atom): 29.56
N(E_F) (states/eV/atom): 0.64
Symmetry: R-3m (166)

Lattice parameters (Å, degrees): 4.2385 4.2385 7.9846 74.61 74.61 60.00
Atoms (fractional coordinates):
Hg 0.5000 0.5000 0.5000
Se 0.0000 0.0000 0.0000
La 0.7427 0.7427 0.7718
La 0.2573 0.2573 0.2282

=====

Result of the stability comparison: entry B is the most stable of them.

=====

Entry A
Entry from Alexandria via LeMat-Bulk: an optimized crystal structure of LaTaHg2 (GGA-PBEsol).

Values from the calculation:
Volume (Å³/atom): 22.44
N(E_F) (states/eV/atom): 0.88
Symmetry: Cm (8)

Lattice parameters (Å, degrees): 3.1400 5.4141 5.9042 111.10 105.42 90.00
Atoms (fractional coordinates):
Hg 0.9810 0.0377 0.9621
Hg 0.7369 0.1976 0.4738
La 0.5153 0.5591 0.0307
Ta 0.2667 0.7056 0.5335

=====

Entry B
Entry from Alexandria via LeMat-Bulk: an optimized crystal structure of LaTaHg2 (GGA-PBEsol).

Values from the calculation:
Volume (Å³/atom): 23.23
N(E_F) (states/eV/atom): 0.98
Symmetry: Fm-3m (225)

Lattice parameters (Å, degrees): 5.0843 5.0843 5.0843 60.00 60.00 60.00
Atoms (fractional coordinates):
Hg 0.2500 0.2500 0.2500
Hg 0.7500 0.7500 0.7500
La 0.0000 0.0000 0.0000
Ta 0.5000 0.5000 0.5000

=====

Entry C
Entry from Alexandria via LeMat-Bulk: an optimized crystal structure of LaTaHg2 (GGA-PBEsol).

Values from the calculation:
Volume (Å³/atom): 22.37
N(E_F) (states/eV/atom): 0.83
Symmetry: P4mm (99)

Lattice parameters (Å, degrees): 3.1362 3.1362 9.0991 90.00 90.00 90.00
Atoms (fractional coordinates):
Hg 0.0000 0.0000 0.9882
Hg 0.5000 0.5000 0.2294
La 0.0000 0.0000 0.5070
Ta 0.5000 0.5000 0.7754

=====

Entry D
Entry from Alexandria via LeMat-Bulk: an optimized crystal structure of LaTaHg2 (GGA-PBEsol).

Values from the calculation:
Volume (Å³/atom): 21.53
N(E_F) (states/eV/atom): 0.73
Symmetry: P4/mmm (123)

Lattice parameters (Å, degrees): 3.0934 3.0934 9.0008 90.00 90.00 90.00
Atoms (fractional coordinates):
Hg 0.0000 0.0000 0.7223
Hg 0.0000 0.0000 0.2777
La 0.5000 0.5000 0.0000
Ta 0.5000 0.5000 0.5000

=====

Result of the stability comparison: entry D is the most stable of them.

=====

Entry A
Entry from Alexandria via LeMat-Bulk: an optimized crystal structure of LaTaHg2 (GGA-PBEsol).

Values from the calculation:
Volume (Å³/atom): 22.66
N(E_F) (states/eV/atom): 0.80
Symmetry: C2/m (12)

Lattice parameters (Å, degrees): 3.1085 5.4811 5.6484 100.42 90.00 106.47
Atoms (fractional coordinates):
Hg 0.7633 0.5266 0.7804
Hg 0.2367 0.4734 0.2196
La 0.0000 0.0000 0.5000
Ta 0.5000 0.0000 0.0000

=====

Entry B
Entry from Alexandria via LeMat-Bulk: an optimized crystal structure of LaTaHg2 (GGA-PBEsol).

Values from the calculation:
Volume (Å³/atom): 22.40
N(E_F) (states/eV/atom): 0.87
Symmetry: Pmmm (47)

Lattice parameters (Å, degrees): 3.0704 4.1313 7.0649 90.00 90.00 90.00
Atoms (fractional coordinates):
Hg 0.0000 0.0000 0.7082
Hg 0.0000 0.0000 0.2918
La 0.5000 0.5000 0.0000
Ta 0.5000 0.5000 0.5000

=====

Result of the stability comparison: entry B is the most stable of them.

=====

Entry A
Entry from Alexandria via LeMat-Bulk: an optimized crystal structure of LaTlHg2 (GGA-PBEsol).

Values from the calculation:
Volume (Å³/atom): 25.91
N(E_F) (states/eV/atom): 0.77
Symmetry: P4/mmm (123)

Lattice parameters (Å, degrees): 4.5210 4.7877 4.7877 90.00 90.00 90.00
Atoms (fractional coordinates):
Tl 0.5000 0.5000 0.5000
Hg 0.0000 0.0000 0.5000
Hg 0.0000 0.5000 0.0000
La 0.5000 0.0000 0.0000

=====

Entry B
Entry from Alexandria via LeMat-Bulk: an optimized crystal structure of LaTlHg2 (GGA-PBEsol).

Values from the calculation:
Volume (Å³/atom): 25.39
N(E_F) (states/eV/atom): 0.41
Symmetry: I4/mmm (139)

Lattice parameters (Å, degrees): 5.2518 5.2298 5.2518 59.86 90.00 120.14
Atoms (fractional coordinates):
Tl 0.0000 0.0000 0.0000
Hg 0.2500 0.5000 0.2500
Hg 0.7500 0.5000 0.7500
La 0.5000 0.0000 0.5000

=====

Entry C
Entry from Alexandria via LeMat-Bulk: an optimized crystal structure of LaTlHg2 (GGA-PBEsol).

Values from the calculation:
Volume (Å³/atom): 26.04
N(E_F) (states/eV/atom): 0.69
Symmetry: P4/mmm (123)

Lattice parameters (Å, degrees): 3.7826 3.7826 7.2810 90.00 90.00 90.00
Atoms (fractional coordinates):
Hg 0.0000 0.0000 0.7392
Hg 0.0000 0.0000 0.2608
La 0.5000 0.5000 0.0000
Tl 0.5000 0.5000 0.5000

=====

Result of the stability comparison: entry B is the most stable of them.

=====

Entry A
Entry from Alexandria via LeMat-Bulk: an optimized crystal structure of LaHg2W (GGA-PBEsol).

Values from the calculation:
Volume (Å³/atom): 23.90
N(E_F) (states/eV/atom): 0.77
Symmetry: Cm (8)

Lattice parameters (Å, degrees): 3.0197 4.8570 7.1085 109.77 102.26 90.00
Atoms (fractional coordinates):
Hg 0.0641 0.0620 0.1281
Hg 0.2490 0.7503 0.4980
La 0.4412 0.4404 0.8825
W 0.7457 0.2473 0.4914

=====

Entry B
Entry from Alexandria via LeMat-Bulk: an optimized crystal structure of LaHg2W (GGA-PBEsol).

Values from the calculation:
Volume (Å³/atom): 20.64
N(E_F) (states/eV/atom): 0.95
Symmetry: P4/mmm (123)

Lattice parameters (Å, degrees): 2.9823 2.9823 9.2819 90.00 90.00 90.00
Atoms (fractional coordinates):
Hg 0.0000 0.0000 0.7231
Hg 0.0000 0.0000 0.2769
La 0.5000 0.5000 0.0000
W 0.5000 0.5000 0.5000

=====

Result of the stability comparison: entry B is the most stable of them.

=====

Entry A
Entry from Alexandria via LeMat-Bulk: an optimized crystal structure of LaZr2Hg2 (GGA-PBEsol).

Values from the calculation:
Volume (Å³/atom): 25.84
N(E_F) (states/eV/atom): 1.03
Symmetry: I4/mmm (139)

Lattice parameters (Å, degrees): 4.5212 4.5212 7.0826 108.61 108.61 90.00
Atoms (fractional coordinates):
Hg 0.2500 0.7500 0.5000
Hg 0.7500 0.2500 0.5000
La 0.0000 0.0000 0.0000
Zr 0.6121 0.6121 0.2241
Zr 0.3879 0.3879 0.7759

=====

Entry B
Entry from Alexandria via LeMat-Bulk: an optimized crystal structure of LaZr2Hg2 (GGA-PBEsol).

Values from the calculation:
Volume (Å³/atom): 25.01
N(E_F) (states/eV/atom): 1.75
Symmetry: I4/mmm (139)

Lattice parameters (Å, degrees): 4.2621 4.2621 7.5150 106.47 106.47 90.00
Atoms (fractional coordinates):
Hg 0.3976 0.3976 0.7952
Hg 0.6024 0.6024 0.2048
Zr 0.2500 0.7500 0.5000
Zr 0.7500 0.2500 0.5000
La 0.0000 0.0000 0.0000

=====

Result of the stability comparison: entry B is the most stable of them.

=====

Entry A
Entry from Alexandria via LeMat-Bulk: an optimized crystal structure of LaZrHg2 (GGA-PBEsol).

Values from the calculation:
Volume (Å³/atom): 23.89
N(E_F) (states/eV/atom): 0.98
Symmetry: Pmmm (47)

Lattice parameters (Å, degrees): 3.1920 4.1624 7.1931 90.00 90.00 90.00
Atoms (fractional coordinates):
Hg 0.0000 0.0000 0.7136
Hg 0.0000 0.0000 0.2864
La 0.5000 0.5000 0.0000
Zr 0.5000 0.5000 0.5000

=====

Entry B
Entry from Alexandria via LeMat-Bulk: an optimized crystal structure of LaZrHg2 (GGA-PBEsol).

Values from the calculation:
Volume (Å³/atom): 24.01
N(E_F) (states/eV/atom): 1.02
Symmetry: Imm2 (44)

Lattice parameters (Å, degrees): 3.4857 5.2428 6.1261 115.33 106.53 90.00
Atoms (fractional coordinates):
Hg 0.0056 0.0056 0.0112
Hg 0.7334 0.2334 0.4668
La 0.4981 0.4981 0.9961
Zr 0.2629 0.7629 0.5258

=====

Entry C
Entry from Alexandria via LeMat-Bulk: an optimized crystal structure of LaZrHg2 (GGA-PBEsol).

Values from the calculation:
Volume (Å³/atom): 24.54
N(E_F) (states/eV/atom): 1.34
Symmetry: Fm-3m (225)

Lattice parameters (Å, degrees): 5.1780 5.1780 5.1780 60.00 60.00 60.00
Atoms (fractional coordinates):
Hg 0.2500 0.2500 0.2500
Hg 0.7500 0.7500 0.7500
La 0.0000 0.0000 0.0000
Zr 0.5000 0.5000 0.5000

=====

Result of the stability comparison: entry A is the most stable of them.

=====

Entry A
Entry from Alexandria via LeMat-Bulk: an optimized crystal structure of LaZr3Hg (GGA-PBEsol).

Values from the calculation:
Volume (Å³/atom): 29.63
N(E_F) (states/eV/atom): 2.03
Symmetry: Pm-3m (221)

Lattice parameters (Å, degrees): 5.2915 5.2915 5.2915 90.00 90.00 90.00
Atoms (fractional coordinates):
Hg 0.0000 0.0000 0.0000
Zr 0.0000 0.5000 0.0000
Zr 0.0000 0.0000 0.5000
Zr 0.5000 0.0000 0.0000
La 0.5000 0.5000 0.5000

=====

Entry B
Entry from Alexandria via LeMat-Bulk: an optimized crystal structure of LaZr3Hg (GGA-PBEsol).

Values from the calculation:
Volume (Å³/atom): 25.47
N(E_F) (states/eV/atom): 1.60
Symmetry: Pm-3m (221)

Lattice parameters (Å, degrees): 5.0309 5.0309 5.0309 90.00 90.00 90.00
Atoms (fractional coordinates):
Hg 0.5000 0.5000 0.5000
Zr 0.0000 0.5000 0.0000
Zr 0.0000 0.0000 0.5000
Zr 0.5000 0.0000 0.0000
La 0.0000 0.0000 0.0000

=====

Result of the stability comparison: entry A is the most stable of them.

=====

Entry A
Entry from Alexandria via LeMat-Bulk: an optimized crystal structure of Li2Hg3 (GGA-PBEsol).

Values from the calculation:
Volume (Å³/atom): 19.63
N(E_F) (states/eV/atom): 0.34
Symmetry: P-3m1 (164)

Lattice parameters (Å, degrees): 4.5160 4.5160 5.5569 90.00 90.00 120.00
Atoms (fractional coordinates):
Hg 0.0000 0.0000 0.0000
Hg 0.3333 0.6667 0.3478
Hg 0.6667 0.3333 0.6522
Li 0.3333 0.6667 0.8397
Li 0.6667 0.3333 0.1603

=====

Entry B
Entry from Alexandria via LeMat-Bulk: an optimized crystal structure of Li2Hg3 (GGA-PBEsol).

Values from the calculation:
Volume (Å³/atom): 20.00
N(E_F) (states/eV/atom): 0.28
Symmetry: Fdd2 (43)

Lattice parameters (Å, degrees): 3.1648 4.9663 13.5180 87.86 83.28 71.42
Atoms (fractional coordinates):
Hg 0.4774 0.8827 0.1930
Hg 0.5531 0.1173 0.8070
Hg 0.4205 0.3827 0.3070
Hg 0.1101 0.6173 0.6930
Hg 0.9972 0.0000 0.0000
Hg 0.7472 0.5000 0.5000
Li 0.2136 0.4407 0.1042
Li 0.7585 0.5593 0.8958
Li 0.0678 0.9407 0.3958
Li 0.4043 0.0593 0.6042

=====

Result of the stability comparison: entry A is the most stable of them.

=====

Entry A
Entry from Alexandria via LeMat-Bulk: an optimized crystal structure of NaLi2Hg2 (GGA-PBEsol).

Values from the calculation:
Volume (Å³/atom): 21.99
N(E_F) (states/eV/atom): 0.38
Symmetry: I4/mmm (139)

Lattice parameters (Å, degrees): 4.1255 4.1255 7.0874 106.92 106.92 90.00
Atoms (fractional coordinates):
Na 0.0000 0.0000 0.0000
Hg 0.3893 0.3893 0.7786
Hg 0.6107 0.6107 0.2214
Li 0.2500 0.7500 0.5000
Li 0.7500 0.2500 0.5000

=====

Entry B
Entry from Alexandria via LeMat-Bulk: an optimized crystal structure of NaLi2Hg2 (GGA-PBEsol).

Values from the calculation:
Volume (Å³/atom): 20.39
N(E_F) (states/eV/atom): 0.43
Symmetry: P4/mbm (127)

Lattice parameters (Å, degrees): 3.0727 8.1470 8.1470 90.00 90.00 90.00
Atoms (fractional coordinates):
Na 0.0000 0.0000 0.0000
Na 0.0000 0.5000 0.5000
Hg 0.0000 0.3666 0.8666
Hg 0.0000 0.8666 0.6334
Hg 0.0000 0.6334 0.1334
Hg 0.0000 0.1334 0.3666
Li 0.5000 0.1620 0.6620
Li 0.5000 0.6620 0.8380
Li 0.5000 0.8380 0.3380
Li 0.5000 0.3380 0.1620

=====

Result of the stability comparison: entry B is the most stable of them.

=====

Entry A
Entry from Alexandria via LeMat-Bulk: an optimized crystal structure of LiHgPt (GGA-PBEsol).

Values from the calculation:
Volume (Å³/atom): 15.99
N(E_F) (states/eV/atom): 0.28
Symmetry: Imm2 (44)

Lattice parameters (Å, degrees): 2.8759 3.9372 4.8887 113.75 107.11 90.00
Atoms (fractional coordinates):
Hg 0.0008 0.0008 0.0017
Pt 0.6735 0.6735 0.3470
Li 0.3257 0.3257 0.6513

=====

Entry B
Entry from Alexandria via LeMat-Bulk: an optimized crystal structure of LiHgPt (GGA-PBEsol).

Values from the calculation:
Volume (Å³/atom): 15.78
N(E_F) (states/eV/atom): 0.25
Symmetry: P3m1 (156)

Lattice parameters (Å, degrees): 2.8519 4.3774 4.3774 120.00 90.00 90.00
Atoms (fractional coordinates):
Hg 0.9524 0.0000 0.0000
Pt 0.4086 0.6667 0.3333
Li 0.6390 0.3333 0.6667

=====

Result of the stability comparison: entry A is the most stable of them.